P.
The following is a PBE-GGA calculation of an optimized crystal structure of Zn2Ag2Br, from Alexandria via LeMat-Bulk.

Unit cell a=7.805 b=7.805 c=3.239 alpha=90.00 beta=90.00 gamma=90.00
Fractional positions:
Zn1 0.331 0.169 0.500
Zn2 0.669 0.831 0.500
Zn3 0.169 0.669 0.500
Zn4 0.831 0.331 0.500
Br1 0.500 0.500 0.000
Br2 0.000 0.000 0.000
Ag1 0.369 0.869 0.000
Ag2 0.631 0.131 0.000
Ag3 0.869 0.631 0.000
Ag4 0.131 0.369 0.000

Output
V: 197.3 Å³ per cell
SG: P4/mbm (127)
magnetization: 0.00 Bohr magnetons per cell

---

Q.
The following is a PBE-GGA calculation of an optimized crystal structure of Zn2Ag2Br, from Alexandria via LeMat-Bulk.

Unit cell a=3.973 b=3.973 c=7.130 alpha=73.82 beta=73.82 gamma=90.00
Fractional positions:
Br1 0.000 0.000 0.000
Ag1 0.750 0.250 0.500
Ag2 0.250 0.750 0.500
Zn1 0.600 0.600 0.799
Zn2 0.400 0.400 0.201

Output
V: 103.5 Å³ per cell
SG: I4/mmm (139)
magnetization: 0.00 Bohr magnetons per cell

---

Q: What are the energies relative to the best structure? A: P 47; Q 0, in meV/atom.

---

P.
The following is a PBE-GGA calculation of an optimized crystal structure of ZrAg2Br, from Alexandria via LeMat-Bulk.

Unit cell a=6.365 b=6.365 c=6.365 alpha=151.25 beta=136.14 gamma=53.29
Fractional positions:
Br1 0.250 0.750 0.500
Zr1 0.750 0.250 0.500
Ag1 0.522 0.522 0.000
Ag2 0.978 0.978 0.000

Output
V: 85.5 Å³ per cell
SG: Immm (71)
magnetization: 0.00 Bohr magnetons per cell

---

Q.
The following is a PBE-GGA calculation of an optimized crystal structure of ZrAg2Br, from Alexandria via LeMat-Bulk.

Unit cell a=9.986 b=9.986 c=9.986 alpha=18.93 beta=18.93 gamma=18.93
Fractional positions:
Zr1 0.750 0.750 0.750
Ag1 0.263 0.263 0.263
Ag2 0.003 0.003 0.003
Br1 0.484 0.484 0.484

Output
V: 91.6 Å³ per cell
SG: R3m (160)
magnetization: 0.00 Bohr magnetons per cell

---

Q: What are the energies relative to the best structure? A: P 190; Q 0, in meV/atom.

---

P.
The following is a PBE-GGA calculation of an optimized crystal structure of ZrAg2Br, from Alexandria via LeMat-Bulk.

Unit cell a=4.965 b=4.965 c=4.965 alpha=60.00 beta=60.00 gamma=60.00
Fractional positions:
Ag1 0.250 0.250 0.250
Ag2 0.750 0.750 0.750
Zr1 0.500 0.500 0.500
Br1 0.000 0.000 0.000

Output
V: 86.6 Å³ per cell
SG: Fm-3m (225)
magnetization: 0.00 Bohr magnetons per cell

---

Q.
The following is a PBE-GGA calculation of an optimized crystal structure of ZrAg2Br, from Alexandria via LeMat-Bulk.

Unit cell a=6.063 b=6.063 c=6.063 alpha=142.08 beta=142.08 gamma=54.70
Fractional positions:
Ag1 0.500 0.500 0.000
Ag2 0.000 0.000 0.000
Br1 0.250 0.750 0.500
Zr1 0.750 0.250 0.500

Output
V: 83.6 Å³ per cell
SG: I4/mmm (139)
magnetization: 0.00 Bohr magnetons per cell

---

Q: What are the energies relative to the best structure? A: P 305; Q 0, in meV/atom.

---

P.
The following is a PBE-GGA calculation of an optimized crystal structure of ZrAg2Br, from Alexandria via LeMat-Bulk.

Unit cell a=9.019 b=9.019 c=9.019 alpha=21.85 beta=21.85 gamma=21.85
Fractional positions:
Ag1 0.501 0.501 0.501
Ag2 0.999 0.999 0.999
Zr1 0.750 0.750 0.750
Br1 0.250 0.250 0.250

Output
V: 89.0 Å³ per cell
SG: R-3m (166)
magnetization: 0.79 Bohr magnetons per cell

---

Q.
The following is a PBE-GGA calculation of an optimized crystal structure of ZrAg2Br, from Alexandria via LeMat-Bulk.

Unit cell a=3.286 b=3.286 c=7.959 alpha=90.00 beta=90.00 gamma=89.56
Fractional positions:
Br1 0.500 0.500 0.250
Zr1 0.500 0.500 0.750
Ag1 0.000 0.000 0.503
Ag2 0.000 0.000 0.997

Output
V: 85.9 Å³ per cell
SG: Cmmm (65)
magnetization: 0.36 Bohr magnetons per cell

---

Q: What are the energies relative to the best structure? A: P 65; Q 0, in meV/atom.

---

P.
The following is a PBE-GGA calculation of an optimized crystal structure of ZrAg2Br, from Alexandria via LeMat-Bulk.

Unit cell a=5.012 b=5.012 c=5.672 alpha=77.38 beta=77.38 gamma=37.65
Fractional positions:
Br1 0.507 0.507 0.450
Ag1 0.999 0.999 0.965
Ag2 0.747 0.747 0.799
Zr1 0.248 0.248 0.286

Output
V: 84.7 Å³ per cell
SG: Cm (8)
magnetization: 0.00 Bohr magnetons per cell

---

Q.
The following is a PBE-GGA calculation of an optimized crystal structure of ZrAg2Br, from Alexandria via LeMat-Bulk.

Unit cell a=5.722 b=6.263 c=3.173 alpha=59.54 beta=90.01 gamma=114.00
Fractional positions:
Zr1 0.500 0.000 0.500
Ag1 0.000 0.000 0.000
Ag2 0.000 0.500 0.500
Br1 0.500 0.500 0.000

Output
V: 86.4 Å³ per cell
SG: Cmmm (65)
magnetization: 0.00 Bohr magnetons per cell

---

Q: What are the energies relative to the best structure? A: P 0; Q 65, in meV/atom.